[1]
A plane-wave DFT calculation with PBEsol was carried out for a geometry-optimized FeAs5 structure. Values from VASP.

Calculated values
Space group: Cmmm
Total magnetization, μB/cell: 0.004

Quantum ESPRESSO input file:
```
&SYSTEM
  ibrav = 0, nat = 6, ntyp = 2
/
ATOMIC_SPECIES
As 74.92 As.upf
Fe 55.84 Fe.upf
CELL_PARAMETERS angstrom
3.668 0.000 0.000
0.000 4.538 0.000
-1.834 0.000 6.958
ATOMIC_POSITIONS angstrom
As 0.000 0.000 0.000
As 1.834 0.000 2.639
As 1.834 2.269 1.477
As 0.000 0.000 4.319
As 0.000 2.269 5.481
Fe 0.000 2.269 0.000
```

***

[2]
A plane-wave DFT calculation with PBEsol was carried out for a geometry-optimized Fe12As5 structure. Values from VASP.

Calculated values
Space group: R32
Total magnetization, μB/cell: 22.071

Quantum ESPRESSO input file:
```
&SYSTEM
  ibrav = 0, nat = 17, ntyp = 2
/
ATOMIC_SPECIES
As 74.92 As.upf
Fe 55.84 Fe.upf
CELL_PARAMETERS angstrom
6.531 -0.003 -0.002
3.170 5.710 -0.002
3.170 1.865 5.397
ATOMIC_POSITIONS angstrom
As 5.365 1.978 -0.002
As 1.857 1.093 0.778
As 4.335 1.217 3.524
As 11.013 6.479 4.614
As 3.170 4.376 1.870
Fe 2.377 2.244 2.790
Fe 10.494 4.201 4.184
Fe 8.769 6.286 5.372
Fe 6.435 2.870 3.982
Fe 7.948 4.676 3.330
Fe 0.000 0.000 0.000
Fe 4.922 2.896 2.062
Fe 3.116 2.960 0.021
Fe 7.236 3.341 1.410
Fe 4.101 0.440 1.208
Fe 9.754 6.584 2.602
Fe 5.635 5.147 2.696
```

***

[3]
A plane-wave DFT calculation with PBEsol was carried out for a geometry-optimized Ga2FeAsIr structure. Values from VASP.

Calculated values
Space group: P4/mmm
Total magnetization, μB/cell: 0.000

Quantum ESPRESSO input file:
```
&SYSTEM
  ibrav = 0, nat = 5, ntyp = 4
/
ATOMIC_SPECIES
Ir 192.22 Ir.upf
As 74.92 As.upf
Ga 69.72 Ga.upf
Fe 55.84 Fe.upf
CELL_PARAMETERS angstrom
4.424 0.000 0.000
0.000 4.424 0.000
0.000 0.000 4.446
ATOMIC_POSITIONS angstrom
Ir 0.000 0.000 2.223
As 2.212 2.212 2.223
Ga 0.000 2.212 0.000
Ga 2.212 0.000 0.000
Fe 0.000 0.000 0.000
```

***

[4]
A plane-wave DFT calculation with PBEsol was carried out for a geometry-optimized GaFeTeAs2 structure. Values from VASP.

Calculated values
Space group: P4/mmm
Total magnetization, μB/cell: 2.814
Formation energy without anion corrections, kcal/mol of atoms: 25.71

Quantum ESPRESSO input file:
```
&SYSTEM
  ibrav = 0, nat = 5, ntyp = 4
/
ATOMIC_SPECIES
Ga 69.72 Ga.upf
Te 127.60 Te.upf
Fe 55.84 Fe.upf
As 74.92 As.upf
CELL_PARAMETERS angstrom
4.650 0.000 0.000
0.000 5.369 0.000
0.000 0.000 5.369
ATOMIC_POSITIONS angstrom
Ga 2.325 2.685 2.685
Te 0.000 0.000 0.000
Fe 2.325 0.000 0.000
As 0.000 2.685 0.000
As 0.000 0.000 2.685
```

***

[5]
A plane-wave DFT calculation with PBEsol was carried out for a geometry-optimized FeGeAsSe2 structure. Values from VASP.

Calculated values
Space group: P4/mmm
Total magnetization, μB/cell: 1.702
Formation energy without anion corrections, kcal/mol of atoms: 8.64

Quantum ESPRESSO input file:
```
&SYSTEM
  ibrav = 0, nat = 5, ntyp = 4
/
ATOMIC_SPECIES
As 74.92 As.upf
Se 78.96 Se.upf
Ge 72.64 Ge.upf
Fe 55.84 Fe.upf
CELL_PARAMETERS angstrom
-2.687 3.127 -1.325
-2.792 -3.291 -2.105
-2.527 -0.452 4.059
ATOMIC_POSITIONS angstrom
As -1.343 1.563 -0.662
Se -1.396 -1.646 -1.053
Se -1.264 -0.226 2.029
Ge -4.003 -0.309 0.314
Fe 0.000 0.000 0.000
```

***

[6]
A plane-wave DFT calculation with PBEsol was carried out for a geometry-optimized FeAs3H structure. Values from VASP.

Calculated values
Space group: Pm-3m
Total magnetization, μB/cell: 0.000

Quantum ESPRESSO input file:
```
&SYSTEM
  ibrav = 0, nat = 5, ntyp = 3
/
ATOMIC_SPECIES
H 1.01 H.upf
As 74.92 As.upf
Fe 55.84 Fe.upf
CELL_PARAMETERS angstrom
-0.977 1.776 3.958
3.081 -2.572 1.914
3.054 3.163 -0.665
ATOMIC_POSITIONS angstrom
H 2.579 1.183 2.604
As 1.541 -1.286 0.957
As -0.488 0.888 1.979
As 1.527 1.581 -0.333
Fe 0.000 0.000 0.000
```

***

Number 1: final energy -34.3 eV per cell, ρ 6173 kg/m3, D(E_F) 2.48 states/eV per cell. Number 2: final energy -134.8 eV per cell, ρ 8616 kg/m3, D(E_F) 14.60 states/eV per cell. Number 3: final energy -27.7 eV per cell, ρ 8827 kg/m3, D(E_F) 2.49 states/eV per cell. Number 4: final energy -20.5 eV per cell, ρ 4992 kg/m3, D(E_F) 5.39 states/eV per cell. Number 5: final energy -24.8 eV per cell, ρ 6008 kg/m3, D(E_F) 4.74 states/eV per cell. Number 6: final energy -23.8 eV per cell, ρ 5318 kg/m3, D(E_F) 4.04 states/eV per cell.